# LiZr2Ni PBE-GGA optimized geometry
# total magnetization = 0.00 μB/f.u.
# final energy = -6.1184 eV/atom
# N(E_F) = 1.0549 states/eV per atom
# formation energy = 79 meV/atom
# crystal system = tetragonal
data_LiZr2Ni
_chemical_formula_sum 'Li2 Zr4 Ni2'
_cell_length_a 3.882
_cell_length_b 3.882
_cell_length_c 9.222
_cell_angle_alpha 90.00
_cell_angle_beta 90.00
_cell_angle_gamma 90.00
_space_group_name_H-M_alt 'I -4 m 2'
_space_group_IT_number 119
_space_group_name_Hall 'I -4 -2'
loop_
_atom_site_label
_atom_site_type_symbol
_atom_site_fract_x
_atom_site_fract_y
_atom_site_fract_z
Li1 Li 0.000 0.000 0.000
Zr1 Zr 0.000 0.000 0.500
Zr2 Zr 0.000 0.500 0.250
Ni1 Ni 0.000 0.500 0.750